Below is crystalline Cd2Ag4HgAu2 at its relaxed geometry, with properties calculated at the GGA-PBE level.

Cell and atoms, written as CIF:
```
data_Cd2Ag4HgAu2
_chemical_formula_sum 'Cd2 Ag4 Hg1 Au2'
_space_group_name_H-M_alt 'P 1'
_space_group_IT_number 1
_cell_length_a 2.985
_cell_length_b 2.985
_cell_length_c 23.082
_cell_angle_alpha 90.00
_cell_angle_beta 90.00
_cell_angle_gamma 120.00
loop_
_space_group_symop_operation_xyz
'x,y,z'
loop_
_atom_site_label
_atom_site_type_symbol
_atom_site_fract_x
_atom_site_fract_y
_atom_site_fract_z
_atom_site_occupancy
Hg1 Hg 0.000 0.000 0.327 1
Au1 Au 0.000 0.000 0.970 1
Ag1 Ag 0.000 0.000 0.561 1
Ag2 Ag 0.667 0.333 0.073 1
Cd1 Cd 0.667 0.333 0.453 1
Cd2 Cd 0.667 0.333 0.198 1
Ag3 Ag 0.000 0.000 0.766 1
Au2 Au 0.667 0.333 0.663 1
Ag4 Ag 0.667 0.333 0.867 1
```

Results
The calculation puts the calculated formation energy at 4 kJ per mole of atoms. For the mass density, the calculation gives 11.7 Mg/m³. Its space-group type is P3m1 (156).